This record from Alexandria via LeMat-Bulk describes a PBEsol-optimized structure of InCu2. The functional is meta-GGA SCAN.

The space group is P-3m1 (No. 164) and the conventional cell measures 4.2413, 4.2413 and 2.8115 Å, with angles of 90.00, 90.00 and 120.00 degrees. Symmetry generates all atoms from In at (0.0000, 0.0000, 0.0000) and Cu at (0.3333, 0.6667, 0.5508).

As for the formation energy from the elements: 119.1 meV per atom. The calculated volume is 14.60 Å³/atom. As for the crystal system: trigonal.